TaSbOs2: optimized geometry, GGA-PBE.

Cell: 3.1529 4.9360 9.1522 Å, 90.00 90.00 90.00°
With the nearest neighbours (Å) after each atom.
Fractional positions:
Ta: 0.0000 0.0000 0.0000  4 Os 2.61
Ta: 0.5000 0.5000 0.0000  4 Os 2.61
Sb: 0.0000 0.0000 0.5000  6 Sb 2.93-3.15, 4 Os 2.96
Sb: 0.5000 0.5000 0.5000  6 Sb 2.93-3.15, 4 Os 2.96
Os: 0.0000 0.5000 0.2266  2 Ta 2.61
Os: 0.0000 0.5000 0.7734  2 Ta 2.61
Os: 0.5000 0.0000 0.2266  2 Ta 2.61
Os: 0.5000 0.0000 0.7734  2 Ta 2.61

Results
Energy, eV per atom: -9.123
Uncorrected formation energy, eV per atom: 0.486
Space-group type: Cmmm
Total magnetization, μB per formula unit: 0.000
Calculated density, Mg/m³: 15.93